1.
The following is a DFT calculation (PBE) of a relaxed RbDyCdS3 crystal.

Values from the calculation:
formation energy (no corrections)	-1.3985	eV per atom

Geometry as POSCAR:
```
RbDyCdS3
1.0
4.1443 0.0000 0.0000
0.0000 8.8983 -0.4167
0.0000 -2.7841 9.6785
Cd Rb S Dy
2 2 6 2
Direct
0.2500 0.0862 0.6131
0.7500 0.9138 0.3869
0.7500 0.7848 0.7682
0.2500 0.2152 0.2318
0.7500 0.2195 0.5491
0.7500 0.8788 0.1313
0.2500 0.7805 0.4509
0.2500 0.5317 0.8549
0.2500 0.1212 0.8687
0.7500 0.4683 0.1451
0.2500 0.6676 0.1333
0.7500 0.3324 0.8667
```

---

2.
The following is a DFT calculation (PBE) of a relaxed Rb2DyCd2Se4 crystal.

Values from the calculation:
formation energy (no corrections)	-1.0939	eV per atom

Geometry as POSCAR:
```
Rb2DyCd2Se4
1.0
4.2143 0.0000 0.0000
0.0000 8.5657 0.0208
-2.1071 -3.3623 7.7166
Se Cd Rb Dy
4 2 2 1
Direct
0.8153 0.7818 0.6306
0.1847 0.2182 0.3694
0.5221 0.7829 0.0442
0.4779 0.2171 0.9558
0.6868 0.0157 0.3735
0.3132 0.9843 0.6265
0.1266 0.5621 0.2532
0.8734 0.4379 0.7468
0.0000 0.0000 0.0000
```

---

3.
The following is a DFT calculation (PBE) of a relaxed Rb2DyCd2Te4 crystal.

Values from the calculation:
formation energy (no corrections)	-0.8701	eV per atom

Geometry as POSCAR:
```
Rb2DyCd2Te4
1.0
4.4997 0.0000 0.0000
0.0000 9.0256 0.0331
-2.2499 -3.5256 8.0978
Cd Te Rb Dy
2 4 2 1
Direct
0.3116 0.9932 0.6232
0.6884 0.0068 0.3768
0.4797 0.2248 0.9595
0.5203 0.7752 0.0405
0.1877 0.2166 0.3754
0.8123 0.7834 0.6246
0.1274 0.5694 0.2547
0.8726 0.4306 0.7453
0.0000 0.0000 0.0000
```

---

4.
The following is a DFT calculation (PBE) of a relaxed Dy2CdRe crystal.

Values from the calculation:
formation energy from the elements	-22	kJ/mol of formula units

Geometry as POSCAR:
```
Dy2CdRe
1.0
-2.5610 2.3643 -0.1396
-1.0090 -1.2752 -3.0860
-4.7389 -4.9216 3.5832
Dy Cd Re
2 1 1
Direct
0.0000 0.0000 0.2136
0.0000 0.0000 0.7864
0.5000 0.5000 0.5000
0.5000 0.5000 0.0000
```

---

5.
The following is a DFT calculation (PBE) of a relaxed DyCd3Rh crystal.

Values from the calculation:
polymorph energy (0 for the lowest one)	0.217	eV per atom
formation energy from the elements	-55	kJ/mol of formula units

Geometry as POSCAR:
```
DyCd3Rh
1.0
-3.5206 -2.4501 3.3031
3.2958 -4.2815 0.3370
4.3910 7.2448 5.6174
Cd Dy Rh
6 2 2
Direct
0.2810 0.2810 0.5619
0.1276 0.3782 0.2552
0.1276 0.8770 0.2552
0.7190 0.7190 0.4381
0.1230 0.8724 0.7448
0.6218 0.8724 0.7448
0.5345 0.0345 0.0690
0.9655 0.4655 0.9310
0.2500 0.7500 0.5000
0.0000 0.0000 0.0000
```

---

6.
The following is a DFT calculation (PBE) of a relaxed Dy5CdRh6 crystal.

Values from the calculation:
formation energy from the elements	-918	kJ/mol of formula units

Geometry as POSCAR:
```
Dy5CdRh6
1.0
-1.7316 4.1465 -1.5937
-0.7064 -2.6886 -6.2277
-7.4930 -0.0638 0.8775
Rh Dy Cd
6 5 1
Direct
0.5000 0.2577 0.0000
0.5000 0.7423 0.0000
0.1682 0.2492 0.6634
0.8318 0.7508 0.3366
0.8318 0.2492 0.3366
0.1682 0.7508 0.6634
0.6663 0.5000 0.6671
0.3337 0.5000 0.3329
0.0000 0.5000 0.0000
0.6588 0.0000 0.6826
0.3412 0.0000 0.3174
0.0000 0.0000 0.0000
```

---

7.
The following is a DFT calculation (PBE) of a relaxed Dy5CdRh crystal.

Values from the calculation:
formation energy from the elements	-166	kJ/mol of formula units

Geometry as POSCAR:
```
Dy5CdRh
1.0
5.8657 -0.3464 -0.0398
1.5325 5.6726 -0.0398
2.6755 1.9262 11.4562
Rh Dy Cd
2 10 2
Direct
0.0000 0.0000 0.0000
0.0000 0.0000 0.5000
0.4609 0.7916 0.9309
0.5827 0.9177 0.6242
0.7916 0.4609 0.4309
0.0823 0.4173 0.8758
0.5391 0.2084 0.0691
0.9952 0.0048 0.2500
0.2084 0.5391 0.5691
0.9177 0.5827 0.1242
0.0048 0.9952 0.7500
0.4173 0.0823 0.3758
0.5962 0.4038 0.7500
0.4038 0.5962 0.2500
```

---

8.
The following is a DFT calculation (PBE) of a relaxed Dy6CdRh5 crystal.

Values from the calculation:
formation energy from the elements	-876	kJ/mol of formula units

Geometry as POSCAR:
```
Dy6CdRh5
1.0
-1.2219 4.2267 -2.0855
-6.7924 -1.9093 0.1102
-0.1390 0.9364 7.6541
Rh Dy Cd
5 6 1
Direct
0.6676 0.5000 0.3359
0.6619 0.0000 0.3252
0.3381 0.0000 0.6748
0.3324 0.5000 0.6641
0.0000 0.5000 0.0000
0.5000 0.7358 0.0000
0.1717 0.2540 0.3439
0.1717 0.7460 0.3439
0.8283 0.2540 0.6561
0.8283 0.7460 0.6561
0.5000 0.2642 0.0000
0.0000 0.0000 0.0000
```

---

Number 1: calculated volume 352.1 Å³/cell. Number 2: calculated volume 278.9 Å³/cell. Number 3: calculated volume 329.4 Å³/cell. Number 4: calculated volume 93.9 Å³/cell. Number 5: calculated volume 276.0 Å³/cell. Number 6: calculated volume 232.9 Å³/cell. Number 7: calculated volume 388.2 Å³/cell. Number 8: calculated volume 251.5 Å³/cell.